# GGA-PBE La2Ga6Ag3, relaxed
# ΔH_f (0 K): -0.327 eV/atom
# density of states at the Fermi level: 4.3 states/eV/f.u.
# final energy: -0.1342 hartree per atom
data_La2Ga6Ag3
_cell_length_a 9.958
_cell_length_b 11.509
_cell_length_c 4.194
_cell_angle_alpha 90.00
_cell_angle_beta 90.00
_cell_angle_gamma 90.00
_symmetry_space_group_name_H-M 'C m m m'
_symmetry_Int_Tables_number 65
_symmetry_space_group_name_Hall '-C 2 2'
loop_
_atom_site_label
_atom_site_type_symbol
_atom_site_fract_x
_atom_site_fract_y
_atom_site_fract_z
La1 La 0.000 0.208 0.000
Ga1 Ga 0.118 0.000 0.500
Ga2 Ga 0.200 0.347 0.500
Ag1 Ag 0.000 0.500 0.500
Ag2 Ag 0.210 0.500 0.000

# GGA-PBE LaGa2Ag, relaxed
# ΔE to the lowest computed polymorph: 0.56 eV per formula unit
# ΔH_f (0 K): -0.369 eV/atom
# density of states at the Fermi level: 0.9 states/eV/f.u.
# final energy: -0.1406 hartree per atom
data_LaGa2Ag
_cell_length_a 7.043
_cell_length_b 7.043
_cell_length_c 7.043
_cell_angle_alpha 90.00
_cell_angle_beta 90.00
_cell_angle_gamma 90.00
_symmetry_space_group_name_H-M 'F m -3 m'
_symmetry_Int_Tables_number 225
_symmetry_space_group_name_Hall '-F 4 2 3'
loop_
_atom_site_label
_atom_site_type_symbol
_atom_site_fract_x
_atom_site_fract_y
_atom_site_fract_z
La1 La 0.000 0.000 0.000
Ga1 Ga 0.250 0.250 0.250
Ag1 Ag 0.000 0.000 0.500

# GGA-PBE La2GaAg, relaxed
# ΔH_f (0 K): -0.426 eV/atom
# density of states at the Fermi level: 3.6 states/eV/f.u.
# final energy: -0.1602 hartree per atom
data_La2GaAg
_cell_length_a 3.751
_cell_length_b 3.751
_cell_length_c 7.780
_cell_angle_alpha 90.00
_cell_angle_beta 90.00
_cell_angle_gamma 90.00
_symmetry_space_group_name_H-M 'P 4/m m m'
_symmetry_Int_Tables_number 123
_symmetry_space_group_name_Hall '-P 4 2'
loop_
_atom_site_label
_atom_site_type_symbol
_atom_site_fract_x
_atom_site_fract_y
_atom_site_fract_z
La1 La 0.000 0.000 0.240
Ga1 Ga 0.500 0.500 0.000
Ag1 Ag 0.500 0.500 0.500

# GGA-PBE LaGaAg3, relaxed
# ΔE to the lowest computed polymorph: 0.00 eV per formula unit
# ΔH_f (0 K): -0.271 eV/atom
# density of states at the Fermi level: 2.9 states/eV/f.u.
# final energy: -0.1313 hartree per atom
data_LaGaAg3
_cell_length_a 8.035
_cell_length_b 6.648
_cell_length_c 5.072
_cell_angle_alpha 90.00
_cell_angle_beta 126.68
_cell_angle_gamma 90.00
_symmetry_space_group_name_H-M 'C 1 m 1'
_symmetry_Int_Tables_number 8
_symmetry_space_group_name_Hall 'C -2y'
loop_
_atom_site_label
_atom_site_type_symbol
_atom_site_fract_x
_atom_site_fract_y
_atom_site_fract_z
La1 La 0.000 0.000 0.000
Ga1 Ga 0.294 0.000 0.777
Ag1 Ag 0.003 0.297 0.507
Ag2 Ag 0.185 0.500 0.196

# GGA-PBE LaGa4Ag2, relaxed
# ΔH_f (0 K): -0.249 eV/atom
# density of states at the Fermi level: 3.3 states/eV/f.u.
# final energy: -0.1285 hartree per atom
data_LaGa4Ag2
_cell_length_a 4.230
_cell_length_b 4.286
_cell_length_c 16.437
_cell_angle_alpha 90.00
_cell_angle_beta 90.00
_cell_angle_gamma 90.00
_symmetry_space_group_name_H-M 'I m m m'
_symmetry_Int_Tables_number 71
_symmetry_space_group_name_Hall '-I 2 2'
loop_
_atom_site_label
_atom_site_type_symbol
_atom_site_fract_x
_atom_site_fract_y
_atom_site_fract_z
La1 La 0.000 0.000 0.000
Ga1 Ga 0.000 0.000 0.424
Ga2 Ga 0.000 0.500 0.167
Ag1 Ag 0.000 0.500 0.325

# GGA-PBE LiLaGa4Ag2, relaxed
# ΔH_f (0 K): -0.322 eV/atom
# density of states at the Fermi level: 2.8 states/eV/f.u.
# final energy: -0.1251 hartree per atom
data_LiLaGa4Ag2
_cell_length_a 4.4941
_cell_length_b 4.4941
_cell_length_c 26.6548
_cell_angle_alpha 90.00
_cell_angle_beta 90.00
_cell_angle_gamma 120.00
_symmetry_space_group_name_H-M 'R -3 m'
_symmetry_Int_Tables_number 166
_symmetry_space_group_name_Hall '-R 3 2"'
loop_
_atom_site_label
_atom_site_type_symbol
_atom_site_fract_x
_atom_site_fract_y
_atom_site_fract_z
Li1 Li 0.0000 0.0000 0.0000
La1 La 0.0000 0.0000 0.5000
Ga1 Ga 0.0000 0.0000 0.1023
Ga2 Ga 0.0000 0.0000 0.3744
Ag1 Ag 0.0000 0.0000 0.2674

# GGA-PBE LiLa2GaAg6, relaxed
# ΔH_f (0 K): -0.106 eV/atom
# density of states at the Fermi level: 6.4 states/eV/f.u.
# final energy: -0.1211 hartree per atom
data_LiLa2GaAg6
_cell_length_a 6.594
_cell_length_b 6.611
_cell_length_c 7.073
_cell_angle_alpha 62.36
_cell_angle_beta 62.61
_cell_angle_gamma 60.27
_symmetry_space_group_name_H-M 'P -1'
_symmetry_Int_Tables_number 2
_symmetry_space_group_name_Hall '-P 1'
loop_
_atom_site_label
_atom_site_type_symbol
_atom_site_fract_x
_atom_site_fract_y
_atom_site_fract_z
Li1 Li 0.000 0.000 0.000
La1 La 0.222 0.218 0.340
Ga1 Ga 0.500 0.500 0.500
Ag1 Ag 0.242 0.246 0.829
Ag2 Ag 0.243 0.678 0.834
Ag3 Ag 0.320 0.756 0.169

# GGA-PBE LaLuGaAg, relaxed
# ΔH_f (0 K): -0.417 eV/atom
# density of states at the Fermi level: 3.1 states/eV/f.u.
# final energy: -0.1561 hartree per atom
data_LaLuGaAg
_cell_length_a 7.375
_cell_length_b 7.375
_cell_length_c 7.375
_cell_angle_alpha 90.00
_cell_angle_beta 90.00
_cell_angle_gamma 90.00
_symmetry_space_group_name_H-M 'F -4 3 m'
_symmetry_Int_Tables_number 216
_symmetry_space_group_name_Hall 'F -4 2 3'
loop_
_atom_site_label
_atom_site_type_symbol
_atom_site_fract_x
_atom_site_fract_y
_atom_site_fract_z
La1 La 0.000 0.000 0.000
Lu1 Lu 0.000 0.000 0.500
Ga1 Ga 0.250 0.250 0.250
Ag1 Ag 0.250 0.250 0.750

# GGA-PBE LaMg2Ga4Ag, relaxed
# ΔH_f (0 K): -0.263 eV/atom
# density of states at the Fermi level: 3.2 states/eV/f.u.
# final energy: -0.1157 hartree per atom
data_LaMg2Ga4Ag
_cell_length_a 4.6868
_cell_length_b 4.6868
_cell_length_c 26.6200
_cell_angle_alpha 90.00
_cell_angle_beta 90.00
_cell_angle_gamma 120.00
_symmetry_space_group_name_H-M 'R -3 m'
_symmetry_Int_Tables_number 166
_symmetry_space_group_name_Hall '-R 3 2"'
loop_
_atom_site_label
_atom_site_type_symbol
_atom_site_fract_x
_atom_site_fract_y
_atom_site_fract_z
La1 La 0.0000 0.0000 0.0000
Mg1 Mg 0.0000 0.0000 0.2424
Ga1 Ga 0.0000 0.0000 0.1290
Ga2 Ga 0.0000 0.0000 0.3948
Ag1 Ag 0.0000 0.0000 0.5000

# GGA-PBE LaMgGa4Ag2, relaxed
# ΔH_f (0 K): -0.266 eV/atom
# density of states at the Fermi level: 2.6 states/eV/f.u.
# final energy: -0.1216 hartree per atom
data_LaMgGa4Ag2
_cell_length_a 4.5629
_cell_length_b 4.5629
_cell_length_c 27.2118
_cell_angle_alpha 90.00
_cell_angle_beta 90.00
_cell_angle_gamma 120.00
_symmetry_space_group_name_H-M 'R -3 m'
_symmetry_Int_Tables_number 166
_symmetry_space_group_name_Hall '-R 3 2"'
loop_
_atom_site_label
_atom_site_type_symbol
_atom_site_fract_x
_atom_site_fract_y
_atom_site_fract_z
La1 La 0.0000 0.0000 0.0000
Mg1 Mg 0.0000 0.0000 0.5000
Ga1 Ga 0.0000 0.0000 0.1230
Ga2 Ga 0.0000 0.0000 0.3954
Ag1 Ag 0.0000 0.0000 0.2373

# GGA-PBE LaMgGa2Ag5, relaxed
# ΔH_f (0 K): -0.060 eV/atom
# density of states at the Fermi level: 3.9 states/eV/f.u.
# final energy: -0.1118 hartree per atom
data_LaMgGa2Ag5
_cell_length_a 4.984
_cell_length_b 4.984
_cell_length_c 7.784
_cell_angle_alpha 90.00
_cell_angle_beta 90.00
_cell_angle_gamma 90.00
_symmetry_space_group_name_H-M 'P 4/m m m'
_symmetry_Int_Tables_number 123
_symmetry_space_group_name_Hall '-P 4 2'
loop_
_atom_site_label
_atom_site_type_symbol
_atom_site_fract_x
_atom_site_fract_y
_atom_site_fract_z
La1 La 0.000 0.000 0.000
Mg1 Mg 0.000 0.000 0.500
Ga1 Ga 0.500 0.500 0.341
Ag1 Ag 0.000 0.500 0.252
Ag2 Ag 0.500 0.500 0.000

# GGA-PBE LaMg2GaAg2, relaxed
# ΔH_f (0 K): -0.033 eV/atom
# density of states at the Fermi level: 4.3 states/eV/f.u.
# final energy: -0.1044 hartree per atom
data_LaMg2GaAg2
_cell_length_a 5.161
_cell_length_b 5.161
_cell_length_c 11.536
_cell_angle_alpha 90.00
_cell_angle_beta 90.00
_cell_angle_gamma 90.00
_symmetry_space_group_name_H-M 'I 4/m m m'
_symmetry_Int_Tables_number 139
_symmetry_space_group_name_Hall '-I 4 2'
loop_
_atom_site_label
_atom_site_type_symbol
_atom_site_fract_x
_atom_site_fract_y
_atom_site_fract_z
La1 La 0.000 0.000 0.000
Mg1 Mg 0.000 0.500 0.250
Ga1 Ga 0.000 0.000 0.500
Ag1 Ag 0.000 0.000 0.286